Entry 1:
Computed, not measured: Os2WF after structural relaxation at the PBE+U level of DFT. Values from VASP.

Values from the calculation:
As for the raw total energy: -56.5 eV for the cell shown. Its total moment is 0.000 μB per formula unit. The density of states at the Fermi level is 0.741 states/eV/atom.

Cell and atoms, written as Quantum ESPRESSO input:
```
&SYSTEM
  ibrav = 0, nat = 8, ntyp = 3
/
ATOMIC_SPECIES
Os 190.23 Os.upf
F 19.00 F.upf
W 183.84 W.upf
CELL_PARAMETERS angstrom
-5.2358 -3.7622 1.9229
1.7482 -4.7166 -4.4680
-0.2510 -5.3950 0.5314
ATOMIC_POSITIONS crystal
Os 0.5983 0.1250 0.2500
F 0.2500 0.7500 0.5000
Os 0.3750 0.4017 0.7500
Os 0.8750 0.8483 0.7500
W 0.7500 0.2500 0.5000
F 0.5000 0.5000 0.0000
Os 0.1517 0.6250 0.2500
W 0.0000 0.0000 0.0000
```


Entry 2:
Computed, not measured: OsWF2 after structural relaxation at the PBE+U level of DFT. Values from VASP.

Values from the calculation:
As for the raw total energy: -43.8 eV for the cell shown. Its total moment is 0.732 μB per formula unit. The density of states at the Fermi level is 0.698 states/eV/atom.

Cell and atoms, written as Quantum ESPRESSO input:
```
&SYSTEM
  ibrav = 0, nat = 8, ntyp = 3
/
ATOMIC_SPECIES
F 19.00 F.upf
Os 190.23 Os.upf
W 183.84 W.upf
CELL_PARAMETERS angstrom
3.7223 0.0000 0.0000
0.0000 3.7223 0.0000
1.8612 1.8612 8.1841
ATOMIC_POSITIONS crystal
F 0.6161 0.1250 0.2500
Os 0.0000 0.0000 0.0000
F 0.1339 0.6250 0.2500
F 0.3750 0.3839 0.7500
W 0.2500 0.7500 0.5000
F 0.8750 0.8661 0.7500
Os 0.7500 0.2500 0.5000
W 0.5000 0.5000 0.0000
```


Entry 3:
Computed, not measured: Os2WF2 after structural relaxation at the PBE+U level of DFT. Values from VASP.

Values from the calculation:
As for the raw total energy: -29.0 eV for the cell shown. Its total moment is 0.114 μB per formula unit. The density of states at the Fermi level is 0.656 states/eV/atom.

Cell and atoms, written as Quantum ESPRESSO input:
```
&SYSTEM
  ibrav = 0, nat = 5, ntyp = 3
/
ATOMIC_SPECIES
W 183.84 W.upf
F 19.00 F.upf
Os 190.23 Os.upf
CELL_PARAMETERS angstrom
4.0916 0.0000 0.0000
0.0000 4.0916 0.0000
2.0458 2.0458 4.0500
ATOMIC_POSITIONS crystal
W 0.0000 0.0000 0.0000
F 0.3754 0.3754 0.2493
F 0.6246 0.6246 0.7507
Os 0.2500 0.7500 0.5000
Os 0.7500 0.2500 0.5000
```


Entry 4:
Computed, not measured: OsWF2 after structural relaxation at the PBE+U level of DFT. Values from VASP.

Values from the calculation:
As for the raw total energy: -22.1 eV for the cell shown. Its total moment is 0.000 μB per formula unit. The density of states at the Fermi level is 0.651 states/eV/atom.

Cell and atoms, written as Quantum ESPRESSO input:
```
&SYSTEM
  ibrav = 0, nat = 4, ntyp = 3
/
ATOMIC_SPECIES
W 183.84 W.upf
F 19.00 F.upf
Os 190.23 Os.upf
CELL_PARAMETERS angstrom
-4.6607 -3.1715 6.6141
-2.3323 -2.7277 7.9150
-4.1191 -0.7203 7.6184
ATOMIC_POSITIONS crystal
W 0.5000 0.5000 0.5000
F 0.0783 0.0783 0.0783
Os 0.0000 0.0000 0.0000
F 0.9217 0.9217 0.9217
```


Entry 5:
Computed, not measured: Os2WF2 after structural relaxation at the PBE+U level of DFT. Values from VASP.

Values from the calculation:
As for the raw total energy: -59.7 eV for the cell shown. Its total moment is 1.869 μB per formula unit. The density of states at the Fermi level is 0.631 states/eV/atom.

Cell and atoms, written as Quantum ESPRESSO input:
```
&SYSTEM
  ibrav = 0, nat = 10, ntyp = 3
/
ATOMIC_SPECIES
F 19.00 F.upf
Os 190.23 Os.upf
W 183.84 W.upf
CELL_PARAMETERS angstrom
7.1944 0.0000 0.0000
0.0000 7.1944 0.0000
0.0000 0.0000 2.8528
ATOMIC_POSITIONS crystal
F 0.7818 0.7182 0.0000
Os 0.8894 0.3894 0.5000
Os 0.1106 0.6106 0.5000
W 0.0000 0.0000 0.0000
F 0.7182 0.2182 0.0000
F 0.2182 0.2818 0.0000
Os 0.6106 0.8894 0.5000
Os 0.3894 0.1106 0.5000
W 0.5000 0.5000 0.0000
F 0.2818 0.7818 0.0000
```


Entry 6:
Computed, not measured: OsW2F after structural relaxation at the PBE+U level of DFT. Values from VASP.

Values from the calculation:
As for the raw total energy: -49.8 eV for the cell shown. Its total moment is 1.144 μB per formula unit. The density of states at the Fermi level is 0.302 states/eV/atom.

Cell and atoms, written as Quantum ESPRESSO input:
```
&SYSTEM
  ibrav = 0, nat = 8, ntyp = 3
/
ATOMIC_SPECIES
Os 190.23 Os.upf
W 183.84 W.upf
F 19.00 F.upf
CELL_PARAMETERS angstrom
-3.3594 3.4350 -4.2585
1.5678 -4.1833 -4.6110
-3.4023 -2.0251 -3.7892
ATOMIC_POSITIONS crystal
Os 0.7500 0.2500 0.5000
W 0.8750 0.8398 0.7500
W 0.3750 0.4102 0.7500
W 0.5898 0.1250 0.2500
F 0.2500 0.7500 0.5000
Os 0.0000 0.0000 0.0000
F 0.5000 0.5000 0.0000
W 0.1602 0.6250 0.2500
```


Entry 7:
Computed, not measured: Os3WF after structural relaxation at the PBE+U level of DFT. Values from VASP.

Values from the calculation:
As for the raw total energy: -34.9 eV for the cell shown. Its total moment is 0.908 μB per formula unit. The density of states at the Fermi level is 0.829 states/eV/atom.

Cell and atoms, written as Quantum ESPRESSO input:
```
&SYSTEM
  ibrav = 0, nat = 5, ntyp = 3
/
ATOMIC_SPECIES
Os 190.23 Os.upf
F 19.00 F.upf
W 183.84 W.upf
CELL_PARAMETERS angstrom
-0.8379 3.5473 -2.0978
-1.7952 -2.2411 -3.0726
-3.7096 0.2833 1.9608
ATOMIC_POSITIONS crystal
Os 0.0000 0.0000 0.5000
Os 0.5000 0.0000 0.0000
F 0.0000 0.0000 0.0000
Os 0.0000 0.5000 0.0000
W 0.5000 0.5000 0.5000
```


Entry 8:
Computed, not measured: Os3WF after structural relaxation at the PBE+U level of DFT. Values from VASP.

Values from the calculation:
As for the raw total energy: -29.9 eV for the cell shown. Its total moment is 4.413 μB per formula unit. The density of states at the Fermi level is 0.652 states/eV/atom.

Cell and atoms, written as Quantum ESPRESSO input:
```
&SYSTEM
  ibrav = 0, nat = 5, ntyp = 3
/
ATOMIC_SPECIES
F 19.00 F.upf
Os 190.23 Os.upf
W 183.84 W.upf
CELL_PARAMETERS angstrom
4.8210 0.0000 0.0000
0.0000 4.8210 0.0000
0.0000 0.0000 4.8210
ATOMIC_POSITIONS crystal
F 0.5000 0.5000 0.5000
Os 0.5000 0.0000 0.0000
Os 0.0000 0.0000 0.5000
W 0.0000 0.0000 0.0000
Os 0.0000 0.5000 0.0000
```


Entry 9:
Computed, not measured: OsW2F after structural relaxation at the PBE+U level of DFT. Values from VASP.

Values from the calculation:
As for the raw total energy: -25.0 eV for the cell shown. Its total moment is 0.860 μB per formula unit. The density of states at the Fermi level is 0.728 states/eV/atom.

Cell and atoms, written as Quantum ESPRESSO input:
```
&SYSTEM
  ibrav = 0, nat = 4, ntyp = 3
/
ATOMIC_SPECIES
F 19.00 F.upf
W 183.84 W.upf
Os 190.23 Os.upf
CELL_PARAMETERS angstrom
-3.5120 -0.1319 2.6501
-3.6463 2.2231 -1.0662
-3.6179 -2.1747 -1.2473
ATOMIC_POSITIONS crystal
F 0.0000 0.0000 0.0000
W 0.2500 0.2500 0.2500
Os 0.5000 0.5000 0.5000
W 0.7500 0.7500 0.7500
```


Entry 10:
Computed, not measured: Os2WF after structural relaxation at the PBE+U level of DFT. Values from VASP.

Values from the calculation:
As for the raw total energy: -29.1 eV for the cell shown. Its total moment is 0.000 μB per formula unit. The density of states at the Fermi level is 0.867 states/eV/atom.

Cell and atoms, written as Quantum ESPRESSO input:
```
&SYSTEM
  ibrav = 0, nat = 4, ntyp = 3
/
ATOMIC_SPECIES
W 183.84 W.upf
Os 190.23 Os.upf
F 19.00 F.upf
CELL_PARAMETERS angstrom
0.0000 3.0754 3.0754
3.0754 0.0000 3.0754
3.0754 3.0754 0.0000
ATOMIC_POSITIONS crystal
W 0.5000 0.5000 0.5000
Os 0.2500 0.2500 0.2500
Os 0.7500 0.7500 0.7500
F 0.0000 0.0000 0.0000
```


Entry 11:
Computed, not measured: OsWF2 after structural relaxation at the PBE+U level of DFT. Values from VASP.

Values from the calculation:
As for the raw total energy: -18.6 eV for the cell shown. Its total moment is 0.000 μB per formula unit. The density of states at the Fermi level is 1.646 states/eV/atom.

Cell and atoms, written as Quantum ESPRESSO input:
```
&SYSTEM
  ibrav = 0, nat = 4, ntyp = 3
/
ATOMIC_SPECIES
F 19.00 F.upf
W 183.84 W.upf
Os 190.23 Os.upf
CELL_PARAMETERS angstrom
1.2029 1.0389 3.8924
-1.9549 -1.6779 3.3227
1.9879 -2.8155 2.4079
ATOMIC_POSITIONS crystal
F 0.7500 0.7500 0.7500
W 0.0000 0.0000 0.0000
Os 0.5000 0.5000 0.5000
F 0.2500 0.2500 0.2500
```